1.
CaSiAg2Se4 | PBE | optimized geometry

Properties
ΔE_f (raw): -488 meV/atom
DFT total energy: -31.0 eV per formula unit

Geometry as CIF:
```
data_CaSiAg2Se4
_cell_length_a 11.032
_cell_length_b 11.871
_cell_length_c 7.583
_cell_angle_alpha 90.00
_cell_angle_beta 133.38
_cell_angle_gamma 90.00
_symmetry_space_group_name_H-M 'C 1 2/c 1'
_symmetry_Int_Tables_number 15
_symmetry_space_group_name_Hall '-C 2yc'
loop_
_atom_site_label
_atom_site_fract_x
_atom_site_fract_y
_atom_site_fract_z
Ca1 0.250 0.250 0.000
Si1 0.000 0.000 0.000
Ag1 0.000 0.500 0.000
Ag2 0.250 0.250 0.500
Se1 0.000 0.210 0.014
Se2 0.231 0.003 0.980
```


2.
Ca3Sm3AgSe8 | PBE | optimized geometry

Properties
ΔE_f (raw): -1670 meV/atom
DFT total energy: -75.9 eV per formula unit

Geometry as CIF:
```
data_Ca3Sm3AgSe8
_cell_length_a 8.3465
_cell_length_b 8.3465
_cell_length_c 20.5402
_cell_angle_alpha 90.00
_cell_angle_beta 90.00
_cell_angle_gamma 120.00
_symmetry_space_group_name_H-M 'R -3 m'
_symmetry_Int_Tables_number 166
_symmetry_space_group_name_Hall '-R 3 2"'
loop_
_atom_site_label
_atom_site_fract_x
_atom_site_fract_y
_atom_site_fract_z
Ca1 0.0000 0.5000 0.0000
Sm1 0.0000 0.5000 0.5000
Ag1 0.0000 0.0000 0.5000
Se1 0.0000 0.0000 0.2496
Se2 0.0048 0.5024 0.7515
```


3.
Ca3Sm2AgSe6 | PBE | optimized geometry

Properties
ΔE_f (raw): -1685 meV/atom
DFT total energy: -59.4 eV per formula unit

Geometry as CIF:
```
data_Ca3Sm2AgSe6
_cell_length_a 7.260
_cell_length_b 12.558
_cell_length_c 7.260
_cell_angle_alpha 90.00
_cell_angle_beta 109.46
_cell_angle_gamma 90.00
_symmetry_space_group_name_H-M 'C 1 2/m 1'
_symmetry_Int_Tables_number 12
_symmetry_space_group_name_Hall '-C 2y'
loop_
_atom_site_label
_atom_site_fract_x
_atom_site_fract_y
_atom_site_fract_z
Ca1 0.000 0.000 0.000
Ca2 0.000 0.336 0.000
Sm1 0.000 0.167 0.500
Ag1 0.000 0.500 0.500
Se1 0.247 0.000 0.748
Se2 0.249 0.168 0.251
```


4.
Ca2SmAg2Se4 | PBE | optimized geometry

Properties
ΔE_f (raw): -1231 meV/atom
DFT total energy: -39.4 eV per formula unit

Geometry as CIF:
```
data_Ca2SmAg2Se4
_cell_length_a 15.499
_cell_length_b 4.033
_cell_length_c 7.822
_cell_angle_alpha 90.00
_cell_angle_beta 116.30
_cell_angle_gamma 90.00
_symmetry_space_group_name_H-M 'C 1 2/m 1'
_symmetry_Int_Tables_number 12
_symmetry_space_group_name_Hall '-C 2y'
loop_
_atom_site_label
_atom_site_fract_x
_atom_site_fract_y
_atom_site_fract_z
Ca1 0.134 0.000 0.078
Sm1 0.000 0.000 0.500
Ag1 0.188 0.500 0.517
Se1 0.011 0.500 0.228
Se2 0.206 0.000 0.772
```


5.
Ca2SmAgSe4 | PBE | optimized geometry

Properties
ΔE_f (raw): -1570 meV/atom
DFT total energy: -38.1 eV per formula unit

Geometry as CIF:
```
data_Ca2SmAgSe4
_cell_length_a 7.219
_cell_length_b 4.214
_cell_length_c 7.264
_cell_angle_alpha 90.00
_cell_angle_beta 109.83
_cell_angle_gamma 90.00
_symmetry_space_group_name_H-M 'P 1 2/m 1'
_symmetry_Int_Tables_number 10
_symmetry_space_group_name_Hall '-P 2y'
loop_
_atom_site_label
_atom_site_fract_x
_atom_site_fract_y
_atom_site_fract_z
Ca1 0.000 0.000 0.000
Ca2 0.500 0.500 0.000
Sm1 0.000 0.500 0.500
Ag1 0.500 0.000 0.500
Se1 0.244 0.000 0.750
Se2 0.250 0.500 0.255
```


6.
CaAgSn2Se4 | PBE | optimized geometry

Properties
ΔE_f (raw): -711 meV/atom
DFT total energy: -32.5 eV per formula unit

Geometry as CIF:
```
data_CaAgSn2Se4
_cell_length_a 7.183
_cell_length_b 4.151
_cell_length_c 7.310
_cell_angle_alpha 90.00
_cell_angle_beta 109.50
_cell_angle_gamma 90.00
_symmetry_space_group_name_H-M 'P 1 2/m 1'
_symmetry_Int_Tables_number 10
_symmetry_space_group_name_Hall '-P 2y'
loop_
_atom_site_label
_atom_site_fract_x
_atom_site_fract_y
_atom_site_fract_z
Ca1 0.000 0.000 0.000
Ag1 0.500 0.500 0.000
Sn1 0.000 0.500 0.500
Sn2 0.500 0.000 0.500
Se1 0.244 0.500 0.247
Se2 0.251 0.000 0.753
```


7.
CaAg2SnSe4 | PBE | optimized geometry

Properties
ΔE_f (raw): -595 meV/atom
DFT total energy: -30.4 eV per formula unit

Geometry as CIF:
```
data_CaAg2SnSe4
_cell_length_a 7.962
_cell_length_b 8.184
_cell_length_c 11.716
_cell_angle_alpha 90.00
_cell_angle_beta 90.00
_cell_angle_gamma 90.00
_symmetry_space_group_name_H-M 'I m m a'
_symmetry_Int_Tables_number 74
_symmetry_space_group_name_Hall '-I 2b 2'
loop_
_atom_site_label
_atom_site_fract_x
_atom_site_fract_y
_atom_site_fract_z
Ca1 0.000 0.000 0.000
Ag1 0.000 0.000 0.500
Ag2 0.250 0.250 0.250
Sn1 0.250 0.250 0.750
Se1 0.000 0.001 0.750
Se2 0.237 0.250 0.509
```


8.
Ca2TbAgSe4 | PBE | optimized geometry

Properties
ΔE_f (raw): -1572 meV/atom
DFT total energy: -38.0 eV per formula unit

Geometry as CIF:
```
data_Ca2TbAgSe4
_cell_length_a 7.201
_cell_length_b 4.183
_cell_length_c 7.212
_cell_angle_alpha 90.00
_cell_angle_beta 109.76
_cell_angle_gamma 90.00
_symmetry_space_group_name_H-M 'P 1 2/m 1'
_symmetry_Int_Tables_number 10
_symmetry_space_group_name_Hall '-P 2y'
loop_
_atom_site_label
_atom_site_fract_x
_atom_site_fract_y
_atom_site_fract_z
Ca1 0.000 0.000 0.000
Ca2 0.000 0.500 0.500
Tb1 0.500 0.000 0.500
Ag1 0.500 0.500 0.000
Se1 0.254 0.500 0.259
Se2 0.258 0.000 0.749
```